No. 1
Density functional theory data (PBE-GGA) for crystalline BaTlSbPd3 at its relaxed geometry.

## Properties
Its formation energy from raw total energies is -0.40 eV/atom. The total energy comes out at -4.398 eV per atom. For the size of the total moment, the calculation gives 0.00 μB per formula unit.

```
data_BaTlSbPd3
_chemical_formula_sum 'Ba2 Tl2 Sb2 Pd6'
_cell_length_a 7.4254
_cell_length_b 7.4254
_cell_length_c 6.7183
_cell_angle_alpha 90.00
_cell_angle_beta 90.00
_cell_angle_gamma 124.59
_space_group_name_H-M_alt 'P 1'
_space_group_IT_number 1
_space_group_name_Hall 'P 1'
loop_
_atom_site_label
_atom_site_type_symbol
_atom_site_fract_x
_atom_site_fract_y
_atom_site_fract_z
_atom_site_occupancy
Ba1 Ba 0.1990 0.8010 0.7500 1
Ba2 Ba 0.8010 0.1990 0.2500 1
Tl1 Tl 0.1348 0.8652 0.2500 1
Tl2 Tl 0.8652 0.1348 0.7500 1
Sb1 Sb 0.4578 0.5422 0.7500 1
Sb2 Sb 0.5422 0.4578 0.2500 1
Pd1 Pd 0.2092 0.2092 0.0000 1
Pd2 Pd 0.2092 0.2092 0.5000 1
Pd3 Pd 0.3440 0.6560 0.2500 1
Pd4 Pd 0.6560 0.3440 0.7500 1
Pd5 Pd 0.7908 0.7908 0.0000 1
Pd6 Pd 0.7908 0.7908 0.5000 1
```

=====

No. 2
Density functional theory data (PBE-GGA) for crystalline La2CrP at its relaxed geometry.

## Properties
The total energy comes out at -6.399 eV per atom. For the size of the total moment, the calculation gives 0.02 μB per formula unit.

```
data_La2CrP
_chemical_formula_sum 'La2 Cr1 P1'
_cell_length_a 3.2797
_cell_length_b 3.2797
_cell_length_c 8.5463
_cell_angle_alpha 90.00
_cell_angle_beta 90.00
_cell_angle_gamma 90.00
_space_group_name_H-M_alt 'P 1'
_space_group_IT_number 1
_space_group_name_Hall 'P 1'
loop_
_atom_site_label
_atom_site_type_symbol
_atom_site_fract_x
_atom_site_fract_y
_atom_site_fract_z
_atom_site_occupancy
La1 La 0.0000 0.0000 0.0000 1
La2 La 0.5000 0.5000 0.4105 1
Cr1 Cr 0.5000 0.5000 0.7447 1
P1 P 0.0000 0.0000 0.6473 1
```

=====

No. 3
Density functional theory data (PBE-GGA) for crystalline Ac2Pd5Pt at its relaxed geometry.

## Properties
The total energy comes out at -5.777 eV per atom. For the size of the total moment, the calculation gives 0.00 μB per formula unit.

```
data_Ac2Pd5Pt
_chemical_formula_sum 'Ac2 Pd5 Pt1'
_cell_length_a 6.0992
_cell_length_b 6.0992
_cell_length_c 6.0992
_cell_angle_alpha 119.92
_cell_angle_beta 119.92
_cell_angle_gamma 90.13
_space_group_name_H-M_alt 'P 1'
_space_group_IT_number 1
_space_group_name_Hall 'P 1'
loop_
_atom_site_label
_atom_site_type_symbol
_atom_site_fract_x
_atom_site_fract_y
_atom_site_fract_z
_atom_site_occupancy
Ac1 Ac 0.0000 0.5000 0.5000 1
Ac2 Ac 0.5000 0.0000 0.5000 1
Pd1 Pd 0.9996 0.9996 0.0000 1
Pd2 Pd 0.0002 0.0002 0.5004 1
Pd3 Pd 0.0002 0.4998 0.0000 1
Pd4 Pd 0.4998 0.0002 0.0000 1
Pd5 Pd 0.4998 0.4998 0.4996 1
Pt1 Pt 0.5003 0.5003 0.0000 1
```

=====

No. 4
Density functional theory data (PBE-GGA) for crystalline Nb2TeAs2 at its relaxed geometry.

## Properties
The excess energy over the best structure of this formula in the dataset is 1.33 eV/f.u. Its formation energy from raw total energies is -0.09 eV/atom. The total energy comes out at -6.605 eV per atom. For the size of the total moment, the calculation gives 0.00 μB per formula unit.

```
data_Nb2TeAs2
_chemical_formula_sum 'Nb2 Te1 As2'
_cell_length_a 7.3694
_cell_length_b 7.3694
_cell_length_c 7.3694
_cell_angle_alpha 150.16
_cell_angle_beta 150.16
_cell_angle_gamma 42.70
_space_group_name_H-M_alt 'P 1'
_space_group_IT_number 1
_space_group_name_Hall 'P 1'
loop_
_atom_site_label
_atom_site_type_symbol
_atom_site_fract_x
_atom_site_fract_y
_atom_site_fract_z
_atom_site_occupancy
Nb1 Nb 0.1126 0.1126 0.0000 1
Nb2 Nb 0.8874 0.8874 0.0000 1
Te1 Te 0.5000 0.5000 0.0000 1
As1 As 0.2500 0.7500 0.5000 1
As2 As 0.7500 0.2500 0.5000 1
```

=====

No. 5
Density functional theory data (PBE-GGA) for crystalline CaTaSe2 at its relaxed geometry.

## Properties
The excess energy over the best structure of this formula in the dataset is 0.77 eV/f.u. Its formation energy from raw total energies is -0.68 eV/atom. The total energy comes out at -5.885 eV per atom. For the size of the total moment, the calculation gives 0.09 μB per formula unit.

```
data_CaTaSe2
_chemical_formula_sum 'Ca1 Ta1 Se2'
_cell_length_a 3.9072
_cell_length_b 3.9072
_cell_length_c 5.5776
_cell_angle_alpha 90.00
_cell_angle_beta 90.00
_cell_angle_gamma 90.00
_space_group_name_H-M_alt 'P 1'
_space_group_IT_number 1
_space_group_name_Hall 'P 1'
loop_
_atom_site_label
_atom_site_type_symbol
_atom_site_fract_x
_atom_site_fract_y
_atom_site_fract_z
_atom_site_occupancy
Ca1 Ca 0.0000 0.0000 0.0000 1
Ta1 Ta 0.5000 0.5000 0.5513 1
Se1 Se 0.0000 0.0000 0.5066 1
Se2 Se 0.5000 0.5000 0.0418 1
```

=====

No. 6
Density functional theory data (PBE-GGA) for crystalline Si2SbRu at its relaxed geometry.

## Properties
Its formation energy from raw total energies is 0.21 eV/atom. The total energy comes out at -5.848 eV per atom. For the size of the total moment, the calculation gives 0.00 μB per formula unit.

```
data_Si2SbRu
_chemical_formula_sum 'Si2 Sb1 Ru1'
_cell_length_a 7.6547
_cell_length_b 7.6547
_cell_length_c 7.6547
_cell_angle_alpha 24.76
_cell_angle_beta 24.76
_cell_angle_gamma 24.76
_space_group_name_H-M_alt 'P 1'
_space_group_IT_number 1
_space_group_name_Hall 'P 1'
loop_
_atom_site_label
_atom_site_type_symbol
_atom_site_fract_x
_atom_site_fract_y
_atom_site_fract_z
_atom_site_occupancy
Si1 Si 0.0000 0.0000 0.0000 1
Si2 Si 0.2577 0.2577 0.2577 1
Sb1 Sb 0.7634 0.7634 0.7634 1
Ru1 Ru 0.5203 0.5203 0.5203 1
```

=====

No. 7
Density functional theory data (PBE-GGA) for crystalline ErTlAg at its relaxed geometry.

## Properties
The total energy comes out at -3.468 eV per atom. For the size of the total moment, the calculation gives 0.00 μB per formula unit.

```
data_ErTlAg
_chemical_formula_sum 'Er2 Tl2 Ag2'
_cell_length_a 5.3166
_cell_length_b 5.3166
_cell_length_c 7.5892
_cell_angle_alpha 121.66
_cell_angle_beta 121.66
_cell_angle_gamma 59.05
_space_group_name_H-M_alt 'P 1'
_space_group_IT_number 1
_space_group_name_Hall 'P 1'
loop_
_atom_site_label
_atom_site_type_symbol
_atom_site_fract_x
_atom_site_fract_y
_atom_site_fract_z
_atom_site_occupancy
Er1 Er 0.2402 0.2402 0.3035 1
Er2 Er 0.7598 0.7598 0.6965 1
Tl1 Tl 0.1265 0.1265 0.7731 1
Tl2 Tl 0.8735 0.8735 0.2269 1
Ag1 Ag 0.4743 0.4743 0.7937 1
Ag2 Ag 0.5257 0.5257 0.2063 1
```

=====

No. 8
Density functional theory data (PBE-GGA) for crystalline KFe2Ni at its relaxed geometry.

## Properties
The excess energy over the best structure of this formula in the dataset is 2.69 eV/f.u. The total energy comes out at -4.695 eV per atom. For the size of the total moment, the calculation gives 6.21 μB per formula unit.

```
data_KFe2Ni
_chemical_formula_sum 'K1 Fe2 Ni1'
_cell_length_a 4.8185
_cell_length_b 4.8185
_cell_length_c 2.7241
_cell_angle_alpha 90.00
_cell_angle_beta 90.00
_cell_angle_gamma 90.00
_space_group_name_H-M_alt 'P 1'
_space_group_IT_number 1
_space_group_name_Hall 'P 1'
loop_
_atom_site_label
_atom_site_type_symbol
_atom_site_fract_x
_atom_site_fract_y
_atom_site_fract_z
_atom_site_occupancy
K1 K 0.0000 0.0000 0.0000 1
Fe1 Fe 0.0000 0.5000 0.5000 1
Fe2 Fe 0.5000 0.0000 0.5000 1
Ni1 Ni 0.5000 0.5000 0.0000 1
```